Compound: CsHo2Se3
Source: Alexandria
Functional: PBE
Structure: optimized geometry

Output
Calculated volume (Å³ per cell): 836.33
Total magnetization (μB per formula unit): 0.00
Formation energy without anion corrections (eV per formula unit): -9.333
Excess energy over the best structure of this formula in the dataset (kJ/mol of formula units): 12
Raw total energy (eV/atom): -4.97

Cell lengths 4.487, 16.604, 11.225 Å; angles 90.00, 90.00, 90.00 degrees
Space group Cmcm (No. 63)
Unique sites:
Cs1 0.000 0.236 0.250 x4
Ho1 0.000 0.035 0.750 x4
Ho2 0.000 0.500 0.000 x4
Se1 0.000 0.115 0.541 x8
Se2 0.000 0.443 0.750 x4



Compound: Cs3SmHo2Se6
Source: Alexandria
Functional: PBE
Structure: optimized geometry

Output
Calculated volume (Å³ per cell): 799.26
Total magnetization (μB per formula unit): 0.00
Formation energy without anion corrections (eV per formula unit): -20.691
Raw total energy (eV/atom): -4.84

Cell lengths 7.421, 12.853, 8.738 Å; angles 90.00, 106.45, 90.00 degrees
Space group C2/m (No. 12)
Unique sites:
Cs1 0.000 0.000 0.000 x2
Cs2 0.000 0.335 0.000 x4
Sm1 0.000 0.500 0.500 x2
Ho1 0.000 0.167 0.500 x4
Se1 0.222 0.000 0.686 x4
Se2 0.232 0.330 0.686 x8



Compound: Cs3Ho2SnSe6
Source: Alexandria
Functional: PBE
Structure: optimized geometry

Output
Calculated volume (Å³ per cell): 792.85
Total magnetization (μB per formula unit): 0.00
Formation energy without anion corrections (eV per formula unit): -16.423
Raw total energy (eV/atom): -4.42

Cell lengths 7.406, 12.830, 8.701 Å; angles 90.00, 106.46, 90.00 degrees
Space group C2/m (No. 12)
Unique sites:
Cs1 0.000 0.000 0.000 x2
Cs2 0.000 0.334 0.000 x4
Ho1 0.000 0.167 0.500 x4
Sn1 0.000 0.500 0.500 x2
Se1 0.225 0.000 0.684 x4
Se2 0.230 0.332 0.684 x8



Compound: Cs2Ho2SnSe6
Source: Alexandria
Functional: PBE
Structure: optimized geometry

Output
Calculated volume (Å³ per cell): 761.72
Total magnetization (μB per formula unit): 0.00
Formation energy without anion corrections (eV per formula unit): -14.797
Raw total energy (eV/atom): -4.60

Cell lengths 7.143, 12.346, 8.986 Å; angles 90.00, 106.00, 90.00 degrees
Space group C2/m (No. 12)
Unique sites:
Cs1 0.000 0.170 0.000 x4
Ho1 0.000 0.332 0.500 x4
Sn1 0.000 0.000 0.500 x2
Se1 0.226 0.160 0.682 x8
Se2 0.243 0.500 0.679 x4



Compound: Cs2HoSnSe4
Source: Alexandria
Functional: PBE
Structure: optimized geometry

Output
Calculated volume (Å³ per cell): 2805.64
Total magnetization (μB per formula unit): 0.00
Formation energy without anion corrections (eV per formula unit): -8.808
Raw total energy (eV/atom): -4.13

Cell lengths 6.953, 15.408, 26.187 Å; angles 90.00, 90.00, 90.00 degrees
Space group Fddd (No. 70, origin choice 2)
Unique sites:
Cs1 0.125 0.125 0.306 x16
Ho1 0.125 0.125 0.125 x8
Sn1 0.125 0.125 0.625 x8
Se1 0.122 0.275 0.429 x32



Compound: Cs3SrHo2Se6
Source: Alexandria
Functional: PBE
Structure: optimized geometry

Output
Calculated volume (Å³ per cell): 828.00
Total magnetization (μB per formula unit): 0.00
Formation energy without anion corrections (eV per formula unit): -19.005
Raw total energy (eV/atom): -4.44

Cell lengths 7.554, 13.093, 8.744 Å; angles 90.00, 106.79, 90.00 degrees
Space group C2/m (No. 12)
Unique sites:
Cs1 0.000 0.000 0.000 x2
Cs2 0.000 0.339 0.000 x4
Sr1 0.000 0.500 0.500 x2
Ho1 0.000 0.167 0.500 x4
Se1 0.206 0.000 0.686 x4
Se2 0.241 0.322 0.689 x8